# Ac5YPb4 | Alexandria | PBE | optimized geometry
# DFT total energy (eV/atom): -4.533
data_Ac5YPb4
_cell_length_a 17.8552
_cell_length_b 5.6672
_cell_length_c 7.7933
_cell_angle_alpha 90.00
_cell_angle_beta 91.34
_cell_angle_gamma 90.00
_symmetry_space_group_name_H-M 'C 1 2/m 1'
_symmetry_Int_Tables_number 12
_symmetry_space_group_name_Hall '-C 2y'
loop_
_atom_site_label
_atom_site_type_symbol
_atom_site_fract_x
_atom_site_fract_y
_atom_site_fract_z
_atom_site_occupancy
Ac1 Ac 0.0000 0.0000 0.0000 1
Ac2 Ac 0.1650 0.5000 0.0019 1
Ac3 Ac 0.1664 0.5000 0.5046 1
Y1 Y 0.0000 0.0000 0.5000 1
Pb1 Pb 0.0069 0.5000 0.2649 1
Pb2 Pb 0.1713 0.0000 0.7467 1



# Pr2DyHoTm5 | Alexandria | PBE | optimized geometry
# DFT total energy (eV/atom): -4.293
data_Pr2DyHoTm5
_cell_length_a 8.5694
_cell_length_b 8.5694
_cell_length_c 15.6173
_cell_angle_alpha 90.00
_cell_angle_beta 90.00
_cell_angle_gamma 90.00
_symmetry_space_group_name_H-M 'I 4/m c m'
_symmetry_Int_Tables_number 140
_symmetry_space_group_name_Hall '-I 4 2c'
loop_
_atom_site_label
_atom_site_type_symbol
_atom_site_fract_x
_atom_site_fract_y
_atom_site_fract_z
_atom_site_occupancy
Pr1 Pr 0.1183 0.3817 0.0000 1
Dy1 Dy 0.0000 0.0000 0.2500 1
Ho1 Ho 0.0000 0.5000 0.2500 1
Tm1 Tm 0.0000 0.0000 0.0000 1
Tm2 Tm 0.2137 0.2863 0.3587 1



# Ho4Er6Mg | Alexandria | PBE | optimized geometry
# DFT total energy (eV/atom): -4.015
data_Ho4Er6Mg
_cell_length_a 6.4313
_cell_length_b 6.4313
_cell_length_c 16.8479
_cell_angle_alpha 90.00
_cell_angle_beta 90.00
_cell_angle_gamma 90.00
_symmetry_space_group_name_H-M 'I -4 2 m'
_symmetry_Int_Tables_number 121
_symmetry_space_group_name_Hall 'I -4 2'
loop_
_atom_site_label
_atom_site_type_symbol
_atom_site_fract_x
_atom_site_fract_y
_atom_site_fract_z
_atom_site_occupancy
Ho1 Ho 0.1758 0.1758 0.3650 1
Er1 Er 0.0000 0.5000 0.0000 1
Er2 Er 0.1833 0.1833 0.1686 1
Mg1 Mg 0.0000 0.0000 0.0000 1



# ZrPaTe2 | Alexandria | PBE | optimized geometry
# DFT total energy (eV/atom): -6.338
# ΔE to the lowest computed polymorph (eV/f.u.): 1.86
# E_form (uncorrected) (kJ per mole of atoms): -25
data_ZrPaTe2
_cell_length_a 3.6168
_cell_length_b 3.6168
_cell_length_c 30.6939
_cell_angle_alpha 90.00
_cell_angle_beta 90.00
_cell_angle_gamma 120.00
_symmetry_space_group_name_H-M 'R -3 m'
_symmetry_Int_Tables_number 166
_symmetry_space_group_name_Hall '-R 3 2"'
loop_
_atom_site_label
_atom_site_type_symbol
_atom_site_fract_x
_atom_site_fract_y
_atom_site_fract_z
_atom_site_occupancy
Zr1 Zr 0.0000 0.0000 0.0000 1
Pa1 Pa 0.0000 0.0000 0.5000 1
Te1 Te 0.0000 0.0000 0.3988 1



# MnTlRh2 | Alexandria | PBE | optimized geometry
# DFT total energy (eV/atom): -6.053
data_MnTlRh2
_cell_length_a 2.8114
_cell_length_b 4.6218
_cell_length_c 10.6349
_cell_angle_alpha 90.00
_cell_angle_beta 90.00
_cell_angle_gamma 90.00
_symmetry_space_group_name_H-M 'I m m m'
_symmetry_Int_Tables_number 71
_symmetry_space_group_name_Hall '-I 2 2'
loop_
_atom_site_label
_atom_site_type_symbol
_atom_site_fract_x
_atom_site_fract_y
_atom_site_fract_z
_atom_site_occupancy
Mn1 Mn 0.0000 0.0000 0.0000 1
Tl1 Tl 0.0000 0.0000 0.5000 1
Rh1 Rh 0.0000 0.0000 0.2250 1



# La4Cu2Ni | Alexandria | PBE | optimized geometry
# DFT total energy (eV/atom): -4.821
data_La4Cu2Ni
_cell_length_a 5.3940
_cell_length_b 5.3940
_cell_length_c 14.2609
_cell_angle_alpha 90.00
_cell_angle_beta 90.00
_cell_angle_gamma 90.00
_symmetry_space_group_name_H-M 'I 4/m m m'
_symmetry_Int_Tables_number 139
_symmetry_space_group_name_Hall '-I 4 2'
loop_
_atom_site_label
_atom_site_type_symbol
_atom_site_fract_x
_atom_site_fract_y
_atom_site_fract_z
_atom_site_occupancy
La1 La 0.0000 0.0000 0.2012 1
La2 La 0.0000 0.5000 0.0000 1
Cu1 Cu 0.0000 0.0000 0.4005 1
Ni1 Ni 0.0000 0.0000 0.0000 1



# Pu3Cd | Alexandria | PBE | optimized geometry
# DFT total energy (eV/atom): -10.805
# ΔE to the lowest computed polymorph (eV/f.u.): 0.14
data_Pu3Cd
_cell_length_a 2.9048
_cell_length_b 10.6559
_cell_length_c 6.0790
_cell_angle_alpha 90.00
_cell_angle_beta 90.00
_cell_angle_gamma 90.00
_symmetry_space_group_name_H-M 'I m m 2'
_symmetry_Int_Tables_number 44
_symmetry_space_group_name_Hall 'I 2 -2'
loop_
_atom_site_label
_atom_site_type_symbol
_atom_site_fract_x
_atom_site_fract_y
_atom_site_fract_z
_atom_site_occupancy
Pu1 Pu 0.0000 0.0000 0.0000 1
Pu2 Pu 0.0000 0.2165 0.2084 1
Cd1 Cd 0.0000 0.5000 0.0143 1



# ErCd2Sb | Alexandria | PBE | optimized geometry
# DFT total energy (eV/atom): -2.422
# E_form (uncorrected) (kJ per mole of atoms): 20
data_ErCd2Sb
_cell_length_a 3.3286
_cell_length_b 3.3286
_cell_length_c 34.6128
_cell_angle_alpha 90.00
_cell_angle_beta 90.00
_cell_angle_gamma 120.00
_symmetry_space_group_name_H-M 'R -3 m'
_symmetry_Int_Tables_number 166
_symmetry_space_group_name_Hall '-R 3 2"'
loop_
_atom_site_label
_atom_site_type_symbol
_atom_site_fract_x
_atom_site_fract_y
_atom_site_fract_z
_atom_site_occupancy
Er1 Er 0.0000 0.0000 0.0000 1
Cd1 Cd 0.0000 0.0000 0.0893 1
Sb1 Sb 0.0000 0.0000 0.5000 1



# RhBrCl | Alexandria | PBE | optimized geometry
# DFT total energy (eV/atom): -3.337
# ΔE to the lowest computed polymorph (eV/f.u.): 1.48
# E_form (uncorrected) (kJ per mole of atoms): 28
data_RhBrCl
_cell_length_a 3.2277
_cell_length_b 3.2277
_cell_length_c 12.8370
_cell_angle_alpha 90.00
_cell_angle_beta 90.00
_cell_angle_gamma 90.00
_symmetry_space_group_name_H-M 'I 4 m m'
_symmetry_Int_Tables_number 107
_symmetry_space_group_name_Hall 'I 4 -2'
loop_
_atom_site_label
_atom_site_type_symbol
_atom_site_fract_x
_atom_site_fract_y
_atom_site_fract_z
_atom_site_occupancy
Rh1 Rh 0.0000 0.0000 0.0000 1
Br1 Br 0.0000 0.0000 0.3833 1
Cl1 Cl 0.0000 0.0000 0.6214 1



# Ce5TmTe6 | Alexandria | PBE | optimized geometry
# DFT total energy (eV/atom): -5.751
# E_form (uncorrected) (kJ per mole of atoms): -129
data_Ce5TmTe6
_cell_length_a 7.7261
_cell_length_b 13.4050
_cell_length_c 7.7009
_cell_angle_alpha 90.00
_cell_angle_beta 109.64
_cell_angle_gamma 90.00
_symmetry_space_group_name_H-M 'C 1 2/m 1'
_symmetry_Int_Tables_number 12
_symmetry_space_group_name_Hall '-C 2y'
loop_
_atom_site_label
_atom_site_type_symbol
_atom_site_fract_x
_atom_site_fract_y
_atom_site_fract_z
_atom_site_occupancy
Ce1 Ce 0.0000 0.0000 0.0000 1
Ce2 Ce 0.0000 0.1651 0.5000 1
Ce3 Ce 0.0000 0.3274 0.0000 1
Tm1 Tm 0.0000 0.5000 0.5000 1
Te1 Te 0.2396 0.5000 0.2506 1
Te2 Te 0.2420 0.3379 0.7422 1



# Cs4Pr3TiSe8 | Alexandria | PBE | optimized geometry
# DFT total energy (eV/atom): -4.876
# E_form (uncorrected) (kJ per mole of atoms): -148
data_Cs4Pr3TiSe8
_cell_length_a 8.6350
_cell_length_b 8.6350
_cell_length_c 25.1532
_cell_angle_alpha 90.00
_cell_angle_beta 90.00
_cell_angle_gamma 120.00
_symmetry_space_group_name_H-M 'R -3 m'
_symmetry_Int_Tables_number 166
_symmetry_space_group_name_Hall '-R 3 2"'
loop_
_atom_site_label
_atom_site_type_symbol
_atom_site_fract_x
_atom_site_fract_y
_atom_site_fract_z
_atom_site_occupancy
Cs1 Cs 0.0000 0.0000 0.0000 1
Cs2 Cs 0.0000 0.5000 0.0000 1
Pr1 Pr 0.0000 0.5000 0.5000 1
Ti1 Ti 0.0000 0.0000 0.5000 1
Se1 Se 0.0000 0.0000 0.2319 1
Se2 Se 0.0260 0.5130 0.2277 1



# PmPrCdHg | Alexandria | PBE | optimized geometry
# DFT total energy (eV/atom): -3.078
# ΔE to the lowest computed polymorph (eV/f.u.): 0.01
data_PmPrCdHg
_cell_length_a 7.6932
_cell_length_b 7.6932
_cell_length_c 7.6932
_cell_angle_alpha 90.00
_cell_angle_beta 90.00
_cell_angle_gamma 90.00
_symmetry_space_group_name_H-M 'F -4 3 m'
_symmetry_Int_Tables_number 216
_symmetry_space_group_name_Hall 'F -4 2 3'
loop_
_atom_site_label
_atom_site_type_symbol
_atom_site_fract_x
_atom_site_fract_y
_atom_site_fract_z
_atom_site_occupancy
Pm1 Pm 0.0000 0.0000 0.0000 1
Pr1 Pr 0.0000 0.0000 0.5000 1
Cd1 Cd 0.2500 0.2500 0.2500 1
Hg1 Hg 0.2500 0.2500 0.7500 1